Al2FeP | PBE | optimized geometry

Computed properties:
As for the spin magnetization: 0.0 μB per cell. The energy comes out at -5.20 eV per atom. The space-group type is F-43m. Its volume is 13.12 A^3/atom. Its formation energy is 0.143 eV/atom.

Lattice parameters (Å, degrees): 4.2027 4.2027 4.2027 60.00 60.00 60.00
Sites, in units of the cell vectors:
Fe  0.5000  0.5000  0.5000
Al  0.7500  0.7500  0.7500
Al  0.0000  0.0000  0.0000
P  0.2500  0.2500  0.2500